No. 1
A relaxed structure of Al2Zn4Mo. Source: Alexandria via LeMat-Bulk, functional PBE.

Summary:
* total magnetic moment: 0.00 Bohr magnetons per cell
* formation enthalpy at 0 K: 0.6 eV/f.u.
* energy: -3.266 eV/atom

a = 5.435 Å, b = 5.435 Å, c = 7.791 Å
α = 90.00°, β = 90.00°, γ = 84.03°
Element x y z (fractional)
Al (0.000, 0.000, 0.000)
Al (0.000, 0.000, 0.500)
Al (0.364, 0.636, 0.750)
Al (0.636, 0.364, 0.250)
Zn (0.000, 0.500, 0.000)
Zn (0.000, 0.500, 0.500)
Zn (0.194, 0.254, 0.250)
Zn (0.254, 0.194, 0.750)
Zn (0.500, 0.000, 0.000)
Zn (0.500, 0.000, 0.500)
Zn (0.746, 0.806, 0.250)
Zn (0.806, 0.746, 0.750)
Mo (0.254, 0.746, 0.250)
Mo (0.746, 0.254, 0.750)

No. 2
A relaxed structure of AlZnMo3. Source: Alexandria via LeMat-Bulk, functional PBE.

Summary:
* total magnetic moment: 0.00 Bohr magnetons per cell
* energy above the lowest structure with this stoichiometry: 0.000 eV/atom
* formation enthalpy at 0 K: 7.6 eV/f.u.
* energy: -5.988 eV/atom

a = 4.553 Å, b = 4.553 Å, c = 4.553 Å
α = 90.00°, β = 90.00°, γ = 90.00°
Element x y z (fractional)
Al (0.000, 0.000, 0.000)
Zn (0.500, 0.500, 0.500)
Mo (0.000, 0.500, 0.500)
Mo (0.500, 0.000, 0.500)
Mo (0.500, 0.500, 0.000)

No. 3
A relaxed structure of Al2ZnMo. Source: Alexandria via LeMat-Bulk, functional PBE.

Summary:
* total magnetic moment: 0.00 Bohr magnetons per cell
* formation enthalpy at 0 K: 1.2 eV/f.u.
* energy: -4.608 eV/atom

a = 5.594 Å, b = 5.594 Å, c = 5.594 Å
α = 103.31°, β = 103.31°, γ = 122.65°
Element x y z (fractional)
Al (0.105, 0.625, 0.980)
Al (0.375, 0.355, 0.480)
Al (0.645, 0.125, 0.020)
Al (0.875, 0.895, 0.520)
Zn (0.000, 0.000, 0.000)
Zn (0.750, 0.250, 0.500)
Mo (0.250, 0.750, 0.500)
Mo (0.500, 0.500, 0.000)

No. 4
A relaxed structure of Al2ZnMo. Source: Alexandria via LeMat-Bulk, functional PBE.

Summary:
* total magnetic moment: 0.00 Bohr magnetons per cell
* formation enthalpy at 0 K: -0.3 eV/f.u.
* energy: -4.964 eV/atom

a = 2.719 Å, b = 4.392 Å, c = 5.164 Å
α = 90.00°, β = 94.87°, γ = 90.00°
Element x y z (fractional)
Al (0.113, 0.000, 0.246)
Al (0.887, 0.000, 0.754)
Zn (0.000, 0.500, 0.500)
Mo (0.500, 0.500, 0.000)

No. 5
A relaxed structure of AlZn2Mo. Source: Alexandria via LeMat-Bulk, functional PBE.

Summary:
* total magnetic moment: 0.00 Bohr magnetons per cell
* formation enthalpy at 0 K: 0.1 eV/f.u.
* energy: -4.254 eV/atom

a = 2.748 Å, b = 4.306 Å, c = 5.172 Å
α = 90.00°, β = 90.09°, γ = 90.00°
Element x y z (fractional)
Al (0.000, 0.000, 0.000)
Zn (0.009, 0.000, 0.473)
Zn (0.999, 0.500, 0.720)
Mo (0.502, 0.500, 0.216)

No. 6
A relaxed structure of Al2ZnMo2. Source: Alexandria via LeMat-Bulk, functional PBE.

Summary:
* total magnetic moment: 0.00 Bohr magnetons per cell
* energy above the lowest structure with this stoichiometry: 0.009 eV/atom
* formation enthalpy at 0 K: 0.4 eV/f.u.
* energy: -6.013 eV/atom

a = 6.891 Å, b = 6.891 Å, c = 3.483 Å
α = 90.00°, β = 90.00°, γ = 90.00°
Element x y z (fractional)
Al (0.170, 0.330, 0.000)
Al (0.330, 0.830, 0.000)
Al (0.670, 0.170, 0.000)
Al (0.830, 0.670, 0.000)
Zn (0.000, 0.000, 0.500)
Zn (0.500, 0.500, 0.500)
Mo (0.126, 0.626, 0.500)
Mo (0.374, 0.126, 0.500)
Mo (0.626, 0.874, 0.500)
Mo (0.874, 0.374, 0.500)

No. 7
A relaxed structure of Al2ZnMo. Source: Alexandria via LeMat-Bulk, functional PBE.

Summary:
* total magnetic moment: 0.00 Bohr magnetons per cell
* formation enthalpy at 0 K: 0.0 eV/f.u.
* energy: -4.908 eV/atom

a = 3.414 Å, b = 3.414 Å, c = 5.348 Å
α = 90.00°, β = 90.00°, γ = 90.00°
Element x y z (fractional)
Al (0.000, 0.000, 0.000)
Al (0.500, 0.500, 0.277)
Zn (0.500, 0.500, 0.758)
Mo (0.000, 0.000, 0.498)

No. 8
A relaxed structure of Al2ZnMo. Source: Alexandria via LeMat-Bulk, functional PBE.

Summary:
* total magnetic moment: 0.00 Bohr magnetons per cell
* formation enthalpy at 0 K: -0.3 eV/f.u.
* energy: -4.983 eV/atom

a = 4.975 Å, b = 4.975 Å, c = 4.767 Å
α = 96.35°, β = 96.35°, γ = 31.86°
Element x y z (fractional)
Al (0.000, 0.000, 0.000)
Al (0.243, 0.243, 0.716)
Zn (0.758, 0.758, 0.235)
Mo (0.501, 0.501, 0.501)

No. 9
A relaxed structure of Al2ZnMo. Source: Alexandria via LeMat-Bulk, functional PBE.

Summary:
* total magnetic moment: 0.00 Bohr magnetons per cell
* formation enthalpy at 0 K: -0.4 eV/f.u.
* energy: -5.003 eV/atom

a = 4.828 Å, b = 4.828 Å, c = 2.788 Å
α = 90.00°, β = 90.00°, γ = 110.05°
Element x y z (fractional)
Al (0.000, 0.500, 0.000)
Al (0.500, 0.000, 0.000)
Zn (0.000, 0.000, 0.500)
Mo (0.500, 0.500, 0.500)

No. 10
A relaxed structure of Al8Zn5Mo. Source: Alexandria via LeMat-Bulk, functional PBE.

Summary:
* total magnetic moment: 0.00 Bohr magnetons per cell
* formation enthalpy at 0 K: -0.1 eV/f.u.
* energy: -3.377 eV/atom

a = 6.831 Å, b = 6.831 Å, c = 6.831 Å
α = 102.88°, β = 102.88°, γ = 123.67°
Element x y z (fractional)
Al (0.281, 0.281, 0.563)
Al (0.281, 0.719, 0.000)
Al (0.363, 0.178, 0.185)
Al (0.719, 0.281, 0.000)
Al (0.719, 0.719, 0.437)
Al (0.822, 0.007, 0.185)
Al (0.822, 0.637, 0.815)
Al (0.993, 0.178, 0.815)
Zn (0.068, 0.786, 0.282)
Zn (0.214, 0.496, 0.282)
Zn (0.214, 0.932, 0.718)
Zn (0.504, 0.786, 0.718)
Zn (0.750, 0.250, 0.500)
Mo (0.500, 0.500, 0.000)

No. 11
A relaxed structure of AlZn2Mo. Source: Alexandria via LeMat-Bulk, functional PBE.

Summary:
* total magnetic moment: 0.00 Bohr magnetons per cell
* formation enthalpy at 0 K: -0.2 eV/f.u.
* energy: -4.328 eV/atom

a = 5.100 Å, b = 5.100 Å, c = 5.100 Å
α = 137.74°, β = 137.74°, γ = 61.30°
Element x y z (fractional)
Al (0.000, 0.000, 0.000)
Zn (0.250, 0.750, 0.500)
Zn (0.750, 0.250, 0.500)
Mo (0.500, 0.500, 0.000)

No. 12
A relaxed structure of Al2ZnMo. Source: Alexandria via LeMat-Bulk, functional PBE.

Summary:
* total magnetic moment: 0.00 Bohr magnetons per cell
* formation enthalpy at 0 K: -1.1 eV/f.u.
* energy: -5.163 eV/atom

a = 4.953 Å, b = 4.953 Å, c = 4.953 Å
α = 135.03°, β = 135.03°, γ = 65.49°
Element x y z (fractional)
Al (0.250, 0.750, 0.500)
Al (0.750, 0.250, 0.500)
Zn (0.000, 0.000, 0.000)
Mo (0.500, 0.500, 0.000)

What did the fourth record say?
A relaxed structure of Al2ZnMo. Source: Alexandria via LeMat-Bulk, functional PBE.

Summary:
* total magnetic moment: 0.00 Bohr magnetons per cell
* formation enthalpy at 0 K: -0.3 eV/f.u.
* energy: -4.964 eV/atom

a = 2.719 Å, b = 4.392 Å, c = 5.164 Å
α = 90.00°, β = 94.87°, γ = 90.00°
Element x y z (fractional)
Al (0.113, 0.000, 0.246)
Al (0.887, 0.000, 0.754)
Zn (0.000, 0.500, 0.500)
Mo (0.500, 0.500, 0.000)